(1)
LaTbEuTh | PBE | optimized geometry

* ΔH_f (0 K): 0.231 eV per atom

Cell lengths 5.834, 5.834, 5.834 Å; angles 60.00, 60.00, 60.00 degrees
Sites, in units of the cell vectors:
1 Eu 0.500 0.500 0.500
2 Tb 0.750 0.750 0.750
3 Th 0.000 0.000 0.000
4 La 0.250 0.250 0.250


(2)
LaTbEuTl | PBE | optimized geometry

* ΔH_f (0 K): -0.082 eV per atom

Cell lengths 5.640, 5.640, 5.640 Å; angles 60.00, 60.00, 60.00 degrees
Sites, in units of the cell vectors:
1 Eu 0.500 0.500 0.500
2 Tl 0.000 0.000 0.000
3 Tb 0.250 0.250 0.250
4 La 0.750 0.750 0.750


(3)
LaTbEuTm | PBE | optimized geometry

* ΔH_f (0 K): 0.139 eV per atom

Cell lengths 5.820, 5.820, 5.820 Å; angles 60.00, 60.00, 60.00 degrees
Sites, in units of the cell vectors:
1 Eu 0.000 0.000 0.000
2 Tm 0.500 0.500 0.500
3 Tb 0.750 0.750 0.750
4 La 0.250 0.250 0.250


(4)
LaTbEuY | PBE | optimized geometry

* ΔH_f (0 K): 0.139 eV per atom
* energy above the most stable polymorph in this dataset: 0.0000 eV/atom

Cell lengths 5.854, 5.854, 5.854 Å; angles 60.00, 60.00, 60.00 degrees
Sites, in units of the cell vectors:
1 Eu 0.750 0.750 0.750
2 Y 0.250 0.250 0.250
3 Tb 0.500 0.500 0.500
4 La 0.000 0.000 0.000


(5)
La3EuTc | PBE | optimized geometry

* ΔH_f (0 K): 0.002 eV per atom

Cell lengths 5.632, 5.632, 5.632 Å; angles 90.00, 90.00, 90.00 degrees
Sites, in units of the cell vectors:
1 Eu 0.500 0.500 0.500
2 Tc 0.000 0.000 0.000
3 La 0.000 0.500 0.000
4 La 0.000 0.000 0.500
5 La 0.500 0.000 0.000


(6)
LaEuTe | PBE | optimized geometry

* formation energy (no corrections): -0.88 eV/atom
* energy above the most stable polymorph in this dataset: 0.0279 eV/atom

Cell lengths 3.997, 3.997, 7.330 Å; angles 105.82, 105.82, 90.00 degrees
Sites, in units of the cell vectors:
1 Eu 0.024 0.024 0.047
2 Te 0.673 0.673 0.346
3 La 0.303 0.303 0.607